Entry from Alexandria: crystalline Li9Co3P8O29 at its relaxed geometry (PBE+U).

Computed properties:
The crystal system is trigonal. The calculation puts the energy at -322.65 eV/f.u. Its space group is No. 165.

Structure (extended XYZ):
```
98
Lattice="-6.1669 7.0992 -2.8109 -2.3121 -5.7925 7.5784 6.1808 8.7700 8.5890" Properties=species:S:1:pos:R:3 pbc="T T T"
Co -0.1339 7.3125 9.1235
O 0.2250 3.7123 1.5455
Co 3.6241 4.0434 9.7572
Li -2.5380 6.1279 3.9095
P -0.3332 0.1793 3.4839
O -2.8051 1.6712 7.6938
Li 0.3295 0.0894 9.2732
Li 4.4199 6.9796 10.2900
O 2.4827 7.1314 12.5638
P -0.0389 4.7393 2.7575
O 1.3207 8.5856 8.6223
O -0.6172 0.3719 7.4460
O -1.2780 10.4460 2.7177
O -2.9170 3.1851 2.4612
O -0.2111 12.1569 4.2326
O -1.8175 6.1807 9.4038
O -3.5484 5.1313 0.9283
Li -6.7181 3.0971 3.0664
P 1.6996 1.9148 11.2448
Li 2.2523 4.6543 14.2242
Co 1.9376 9.6833 5.2120
P -1.2887 1.7801 7.3230
O 3.9578 3.7248 13.8719
O -1.2888 7.8825 13.4022
P 1.8017 6.1651 11.6175
O -3.6189 1.4911 4.7341
P -1.0095 8.2967 6.0335
Co -2.1643 2.7642 4.2330
O -5.1168 5.6955 5.4516
O -3.0087 4.3915 5.0244
O -1.1449 2.3022 5.8548
O -5.1186 3.2195 5.8941
O 3.0177 9.3031 6.9099
Li 3.0904 4.3850 4.2945
O 2.8185 2.0251 12.3977
O 0.6188 6.8916 10.8952
P 0.2307 12.3715 5.7662
O -4.2787 7.0889 3.1842
P 1.9294 5.5172 7.4011
P -4.2276 4.5595 5.9554
O -1.1669 5.7109 2.3519
O -2.6532 7.8886 1.4393
O 3.8443 8.4603 9.1183
Li -2.6277 9.9874 4.0832
O -1.0094 2.1942 -0.0457
Li -2.8507 -0.4362 5.1525
O -0.7721 -0.5508 4.7704
Li -3.5053 3.3397 8.7140
O -1.3600 1.2489 3.1144
O -1.2393 -2.4275 6.7814
O 0.5069 8.4055 5.6626
Li -2.7785 6.5046 7.7480
P -2.5289 -2.2948 7.5902
O -1.5262 10.6275 8.5860
O 1.0224 11.1332 6.2357
O -5.3159 0.7736 6.4465
O 2.1268 2.4949 5.4496
O -0.6077 2.7464 8.2693
O -4.4250 7.5819 7.9069
Li 0.4803 3.5721 5.6085
P 2.7411 8.3468 8.0692
O 2.8204 6.8573 7.4623
O -3.8645 4.7870 7.4206
O -1.1313 4.3659 11.0045
O -1.6810 9.7048 5.9104
O -3.3206 -1.0565 7.1208
Li 0.0000 0.0000 0.0000
Li -0.0965 8.5223 11.9649
Li -4.5505 5.4224 -0.8677
O 1.0502 0.9525 3.7696
O -1.6905 7.3304 5.0871
O 1.9805 2.9879 10.1722
P -4.0999 3.9117 1.7390
O 1.5663 5.2897 5.9359
O 0.7105 5.6852 8.3320
Co -1.9237 6.1858 0.5661
Li 1.2071 6.7371 4.6425
O -6.1425 1.6164 4.2382
O 1.2502 4.9454 12.4281
O 2.8186 4.3813 7.9049
O -1.0589 12.5042 6.5750
P -5.0393 1.7299 5.2873
O -5.1331 4.4135 2.8017
O -0.4807 3.8960 3.9527
O -1.1533 7.7745 7.5016
O 0.3550 2.1881 11.9172
Li 0.2397 3.9488 9.4470
O -4.7809 2.9454 0.7926
Li 0.5525 10.5129 8.2040
P -2.2593 5.3374 10.5990
O -1.0202 -0.3693 10.6388
O -0.9382 8.8278 10.2420
Co 0.2446 -1.0658 6.4101
P -3.9978 8.1619 2.1117
Li -2.2017 1.5544 1.3915
O -6.2561 6.3519 -0.5155
P -1.9650 9.8974 9.8725
O 2.8349 5.6633 10.5547
```